An optimized crystal structure of KAlPb4, computed with PBE.

Computed properties:
Energy relative to the elements in eV per formula unit: 0.87
Fermi-level density of states in states/eV/atom: 0.36
VASP energy in eV per cell: -18.8
Total moment in μB per atom: 0.000

abc: 6.5696 6.5696 6.5696
angles: 60.00 60.00 60.00
Last column: nearest neighbours and their distance in Å.
Positions (direct):
K: 0.0000 0.0000 0.0000  12 Pb 3.85, 4 Al 4.02
Al: 0.2500 0.2500 0.2500  12 Pb 3.85, 4 K 4.02
Pb: 0.1257 0.6248 0.6248  6 Pb 3.28-3.29
Pb: 0.6248 0.1257 0.6248  6 Pb 3.28-3.29
Pb: 0.6248 0.6248 0.1257  6 Pb 3.28-3.29
Pb: 0.6248 0.6248 0.6248  6 Pb 3.28-3.29

An optimized crystal structure of Ce3InTe4, computed with PBE.

Computed properties:
ΔE_f (raw) in eV/atom: -1.109
Fermi-level density of states in states/eV/atom: 3.18
VASP energy in eV per cell: -42.0
Total moment in μB per atom: 0.409

abc: 6.4226 6.4226 6.4226
angles: 90.00 90.00 90.00
Last column: nearest neighbours and their distance in Å.
Positions (direct):
Ce: 0.0000 0.0000 0.5000  6 Te 3.21
Ce: 0.0000 0.5000 0.0000  6 Te 3.21
Ce: 0.5000 0.0000 0.0000  6 Te 3.21
In: 0.5000 0.5000 0.5000  6 Te 3.21
Te: 0.0000 0.0000 0.0000  6 Ce 3.21
Te: 0.0000 0.5000 0.5000  2 In 3.21, 4 Ce 3.21
Te: 0.5000 0.0000 0.5000  2 In 3.21, 4 Ce 3.21
Te: 0.5000 0.5000 0.0000  2 In 3.21, 4 Ce 3.21

An optimized crystal structure of AlAs3, computed with PBE.

Computed properties:
Energy relative to the elements in eV per formula unit: 0.87
Fermi-level density of states in states/eV/atom: 0.38
VASP energy in eV per cell: -16.8
Excess energy over the best structure of this formula in the dataset in meV/atom: 317.7
Total moment in μB per atom: 0.000

abc: 6.0245 6.0245 5.1279
angles: 95.67 95.67 26.98
Last column: nearest neighbours and their distance in Å.
Positions (direct):
Al: 0.0000 0.0000 0.0000  8 As 2.63-2.92, 2 Al 2.81
As: 0.3224 0.3224 0.8006  2 Al 2.63, 3 As 2.71-2.81
As: 0.5000 0.5000 0.5000  4 As 2.71-2.81, 4 Al 2.92
As: 0.6776 0.6776 0.1994  2 Al 2.63, 3 As 2.71-2.81